(1)
TeOsNO2: relaxed, PBE.

a b c (Å): 4.0304 4.0304 3.8790
angles (deg): 90.00 90.00 90.00
Sites, in units of the cell vectors:
Os  0.0000  0.0000  0.0000
O  0.0000  0.5000  0.0000
O  0.5000  0.0000  0.0000
N  0.0000  0.0000  0.5000
Te  0.5000  0.5000  0.5000

Summary:
Magnetic moment (μB/f.u.): 0.00
Fermi-level density of states (states/eV per atom): 1.101
Formation energy (no corrections) (eV per atom): 0.243
Symmetry: No. 123

=====

(2)
TiOsNO2: relaxed, PBE.

a b c (Å): 3.7187 3.7187 4.2592
angles (deg): 90.00 90.00 90.00
Sites, in units of the cell vectors:
O  0.5000  0.0000  0.0000
O  0.0000  0.5000  0.0000
Ti  0.0000  0.0000  0.0000
N  0.0000  0.0000  0.5000
Os  0.5000  0.5000  0.5000

Summary:
Magnetic moment (μB/f.u.): 3.87
Fermi-level density of states (states/eV per atom): 0.586
Formation energy (no corrections) (eV per atom): -0.152
Symmetry: No. 123

=====

(3)
TiOsNO2: relaxed, PBE.

a b c (Å): 3.9210 3.9210 3.7937
angles (deg): 90.00 90.00 90.00
Sites, in units of the cell vectors:
O  0.5000  0.0000  0.0000
O  0.0000  0.5000  0.0000
N  0.0000  0.0000  0.5000
Ti  0.5000  0.5000  0.5000
Os  0.0000  0.0000  0.0000

Summary:
Magnetic moment (μB/f.u.): 0.07
Fermi-level density of states (states/eV per atom): 0.951
Formation energy (no corrections) (eV per atom): -0.251
Symmetry: No. 123